The following is a DFT calculation (GGA-PBE) of a geometry-optimized Yb6Nd structure.

Lattice parameters (Å, degrees): 8.6533 8.6533 8.6533 90.00 90.00 90.00
Space group Im-3m (No. 229)
Asymmetric unit:
1 Yb 0.0000 0.2500 0.5000 (multiplicity 12)
2 Nd 0.0000 0.0000 0.0000 (multiplicity 2)

Computed properties:
Formation enthalpy at 0 K   1093 meV per atom
Electronic total energy   -0.896 eV/atom
Total moment   0.0 Bohr magnetons per cell